Material: Nb3VTc4
Method: DFT, PBE
State: relaxed

Computed properties:
space-group type = P4/mmm
ΔE_f = -2.6 eV/f.u.

a = 3.158 Å, b = 3.158 Å, c = 12.620 Å
α = 90.00°, β = 90.00°, γ = 90.00°
Fractional positions:
1 Nb 0.500 0.500 0.245
2 Nb 0.500 0.500 0.500
3 Nb 0.500 0.500 0.755
4 Tc 0.000 0.000 0.883
5 Tc 0.000 0.000 0.117
6 Tc 0.000 0.000 0.373
7 Tc 0.000 0.000 0.627
8 V 0.500 0.500 0.000

Material: BaSb2Os
Method: DFT, PBE
State: relaxed

Computed properties:
space-group type = R-3m
ΔE_f (raw) = -0.232 eV/atom

a = 4.531 Å, b = 4.531 Å, c = 6.733 Å
α = 70.32°, β = 70.32°, γ = 59.97°
Fractional positions:
1 Ba 0.250 0.250 0.250
2 Os 0.750 0.750 0.750
3 Sb 0.036 0.036 0.893
4 Sb 0.464 0.464 0.607

Material: La2InAu
Method: DFT, PBE
State: relaxed

Computed properties:
space-group type = P4mm
ΔE_f = -1.5 eV/f.u.

a = 4.017 Å, b = 4.017 Å, c = 7.293 Å
α = 90.00°, β = 90.00°, γ = 90.00°
Last column: magnetic moment on the atom in μB.
Fractional positions:
1 Au 0.000 0.000 0.493  0.01
2 In 0.500 0.500 0.737  0.00
3 La 0.000 0.000 0.975  0.08
4 La 0.500 0.500 0.296  0.08

Quick rundown of energy, same order as above: -83.381, -22.327, -17.398 eV for the cell shown